Cs2CeI2F4 after structural relaxation, computed with PBE.

E_form (uncorrected) (kJ/mol of formula units): -2335
Total energy (eV/atom): -4.714
Total moment (μB/cell): 0.0
Space-group type: No. 139

a = 7.534 Å, b = 7.534 Å, c = 7.534 Å
α = 117.82°, β = 117.82°, γ = 93.82°
Atoms (fractional coordinates):
Cs 0.250 0.750 0.500
Cs 0.750 0.250 0.500
Ce 0.000 0.000 0.000
I 0.303 0.303 0.000
I 0.697 0.697 0.000
F 0.194 0.194 0.388
F 0.194 0.806 0.000
F 0.806 0.194 0.000
F 0.806 0.806 0.612

=====

AsRuCl2 after structural relaxation, computed with PBE.

E_form (uncorrected) (kJ/mol of formula units): -44
Total energy (eV/atom): -4.519
Energy above the most stable polymorph in this dataset (kJ/mol of atoms): 20.3
Total moment (μB/cell): 0.0
Space-group type: No. 25

a = 3.145 Å, b = 3.863 Å, c = 7.954 Å
α = 90.00°, β = 90.00°, γ = 90.00°
Atoms (fractional coordinates):
As 0.000 0.000 0.000
Ru 0.500 0.500 0.048
Cl 0.000 0.000 0.721
Cl 0.500 0.500 0.332